No. 1
Here is a relaxed structure of Rb2Zn2Ag from Alexandria. Energies are from PBE-GGA.

Computed properties:
ΔE to the lowest computed polymorph	0.000	eV per atom
formation enthalpy at 0 K	-0.004	eV per formula unit
calculated volume	198.4	Å³ per cell
symmetry	R-3m (166)

Geometry as POSCAR:
```
Rb2Zn2Ag
1.0
4.4370 0.0000 1.2737
2.0357 3.9425 1.2737
-0.7673 -0.4673 11.0377
Zn Rb Ag
2 2 1
Cartesian
2.0739 1.2632 1.1406
3.6315 2.2119 12.4446
2.2304 1.3585 8.9603
3.4750 2.1166 4.6249
0.0000 0.0000 0.0000
```

---

No. 2
Here is a relaxed structure of RbZnAg from Alexandria. Energies are from PBE-GGA.

Computed properties:
ΔE to the lowest computed polymorph	0.000	eV per atom
formation enthalpy at 0 K	0.128	eV per formula unit
calculated volume	189.5	Å³ per cell
symmetry	P-1 (2)

Geometry as POSCAR:
```
RbZnAg
1.0
-0.4208 4.4879 -1.2615
-3.7919 -1.0204 6.2232
6.9877 0.5665 -0.0500
Zn Ag Rb
2 2 2
Cartesian
0.1415 0.3203 5.4879
2.6335 3.7138 -0.5762
0.5894 2.2782 3.6489
2.1856 1.7559 1.2628
-0.8466 3.7449 0.6600
3.6215 0.2892 4.2516
```

---

No. 3
Here is a relaxed structure of Rb2Zn2Ag from Alexandria. Energies are from PBE-GGA.

Computed properties:
ΔE to the lowest computed polymorph	0.176	eV per atom
formation enthalpy at 0 K	0.874	eV per formula unit
calculated volume	187.8	Å³ per cell
symmetry	I4/mmm (139)

Geometry as POSCAR:
```
Rb2Zn2Ag
1.0
-5.7237 -2.7517 -2.8749
0.9098 -5.8075 3.7473
-4.5547 -2.7819 3.2786
Zn Rb Ag
2 2 1
Cartesian
-6.2600 -7.5508 2.7862
-3.1086 -3.7903 1.3648
-3.0260 -6.4345 3.7311
-6.3427 -4.9066 0.4200
0.0000 0.0000 0.0000
```

---

No. 4
Here is a relaxed structure of RbZnAg from Alexandria. Energies are from PBE-GGA.

Computed properties:
ΔE to the lowest computed polymorph	0.023	eV per atom
formation enthalpy at 0 K	0.197	eV per formula unit
calculated volume	97.4	Å³ per cell
symmetry	P-6m2 (187)

Geometry as POSCAR:
```
RbZnAg
1.0
-0.9531 4.2667 -2.8112
-2.8394 1.5631 3.3351
4.5228 1.0781 0.1028
Rb Zn Ag
1 1 1
Cartesian
1.4332 4.0848 -0.6943
-0.5439 2.1111 1.7901
-0.1590 0.7119 -0.4690
```

---

No. 5
Here is a relaxed structure of RbZnAg from Alexandria. Energies are from PBE-GGA.

Computed properties:
ΔE to the lowest computed polymorph	0.036	eV per atom
formation enthalpy at 0 K	0.236	eV per formula unit
calculated volume	212.9	Å³ per cell
symmetry	C2/m (12)

Geometry as POSCAR:
```
RbZnAg
1.0
4.4629 -0.1423 0.9349
2.0326 3.9757 0.9349
0.1988 0.1173 11.8640
Zn Ag Rb
2 2 2
Cartesian
3.1432 1.8550 2.1808
3.5511 2.0957 11.5529
1.0241 0.6044 0.8339
5.6701 3.3463 12.8998
1.8132 1.0700 8.6769
4.8811 2.8806 5.0568
```

---

No. 6
Here is a relaxed structure of RbZn12Ag7 from Alexandria. Energies are from PBE-GGA.

Computed properties:
formation enthalpy at 0 K	1.670	eV per formula unit
calculated volume	364.6	Å³ per cell
symmetry	R-3m (166)

Geometry as POSCAR:
```
RbZn12Ag7
1.0
-3.0803 2.6191 5.5301
-5.1927 -5.4672 -3.1318
6.9217 -3.4257 2.6491
Zn Ag Rb
12 7 1
Cartesian
-5.0190 -2.2998 3.9511
-2.2924 -0.5829 5.0097
-2.8476 -3.6685 2.9800
-5.2529 -2.0451 1.2245
1.1122 -0.1067 3.1457
0.9411 -5.6910 0.0377
-1.7578 -3.1538 0.5145
1.4962 -2.6054 2.0674
0.4064 -3.1201 4.5329
3.6677 -3.9741 1.0964
-2.4636 -6.1672 1.9017
3.9015 -4.2288 3.8229
-1.0756 -1.6630 2.8413
-1.2810 -7.1878 -0.3140
-3.9959 -3.0532 -0.9557
-0.0704 0.9139 5.3614
2.6446 -3.2207 6.0031
-0.2757 -4.6108 2.2061
-1.5401 1.3096 2.7650
0.0000 0.0000 0.0000
```

---

No. 7
Here is a relaxed structure of RbZnAg from Alexandria. Energies are from PBE-GGA.

Computed properties:
ΔE to the lowest computed polymorph	0.007	eV per atom
formation enthalpy at 0 K	0.149	eV per formula unit
calculated volume	170.9	Å³ per cell
symmetry	Pm (6)

Geometry as POSCAR:
```
RbZnAg
1.0
-1.9367 4.3079 0.2971
-4.9123 -2.3248 1.6809
4.2388 1.5434 5.2427
Zn Ag Rb
2 2 2
Cartesian
0.8227 1.7621 3.3111
-3.7191 2.1949 5.1270
-1.6002 0.5880 4.5418
-1.2977 3.3686 3.8871
-1.8763 0.7031 1.1171
-5.2407 1.7245 2.0668
```

---

No. 8
Here is a relaxed structure of Rb2ZnAg2 from Alexandria. Energies are from PBE-GGA.

Computed properties:
ΔE to the lowest computed polymorph	0.000	eV per atom
formation enthalpy at 0 K	-0.014	eV per formula unit
calculated volume	206.1	Å³ per cell
symmetry	R-3m (166)

Geometry as POSCAR:
```
Rb2ZnAg2
1.0
4.5216 0.0000 1.2980
2.0745 4.0176 1.2980
-0.7281 -0.4435 11.0607
Zn Rb Ag
1 2 2
Cartesian
0.0000 0.0000 0.0000
3.5763 2.1783 4.5909
2.2917 1.3958 9.0658
3.7760 2.2999 12.4196
2.0920 1.2742 1.2371
```